A) This record from Alexandria describes a relaxed VHRh2W crystal. The functional is PBE.

The structure in POSCAR format:
```
VHRh2W
1.0
-2.714 2.101 1.756
0.295 -2.233 3.129
2.840 2.439 1.473
H Rh W V
1 2 1 1
Direct
0.000 0.000 0.000
0.000 0.500 0.000
0.500 0.000 0.000
0.000 0.000 0.500
0.500 0.500 0.500
```

Computed properties:
The volume is 59.8 Å³/cell.

---

B) This record from Alexandria describes a relaxed VHRh2W crystal. The functional is PBE.

The structure in POSCAR format:
```
VHRh2W
1.0
3.856 0.000 0.000
0.000 3.856 0.000
0.000 0.000 3.986
H Rh W V
1 2 1 1
Direct
0.000 0.000 0.000
0.000 0.500 0.000
0.500 0.000 0.000
0.500 0.500 0.500
0.000 0.000 0.500
```

Computed properties:
The volume is 59.3 Å³/cell.

---

Pick B): it beats the second-best structure by 56 meV per atom.